First-principles (PBE) data for Pu2GaC after structural relaxation, as listed in the Alexandria database.

## Properties
As for the calculated formation energy: -3.3 kJ per mole of atoms.

a = 3.0628 Å, b = 3.0628 Å, c = 7.5493 Å
α = 90.00°, β = 90.00°, γ = 90.00°
Last column: nearest neighbours and their distance in Å.
Fractional coordinates of all 4 atoms:
Pu 0.0000 0.0000 0.1867  4 C 2.58, 1 Pu 2.82
Pu 0.0000 0.0000 0.8133  4 C 2.58, 1 Pu 2.82
Ga 0.5000 0.5000 0.5000  4 Ga 3.06, 8 Pu 3.21
C 0.5000 0.5000 0.0000  8 Pu 2.58

***

First-principles (PBE) data for KThTl2Cl8 after structural relaxation, as listed in the Alexandria database.

## Properties
The formation energy from raw total energies comes out at -1561 meV per atom.

a = 6.7743 Å, b = 9.2672 Å, c = 7.0177 Å
α = 90.00°, β = 91.02°, γ = 90.00°
Last column: nearest neighbours and their distance in Å.
Fractional coordinates of all 12 atoms:
K 0.0000 0.0000 0.0000  6 Cl 3.11-3.24
Th 0.0000 0.5000 0.0000  6 Cl 2.70
Tl 0.5000 0.2408 0.5000  4 Cl 2.85-3.16
Tl 0.5000 0.7592 0.5000  4 Cl 2.85-3.16
Cl 0.2212 0.2873 0.8508  1 Th 2.70
Cl 0.2212 0.7127 0.8508  1 Th 2.70
Cl 0.2382 0.5000 0.3134  1 Th 2.70
Cl 0.2877 0.0000 0.3504  2 Tl 2.85, 1 K 3.11
Cl 0.7123 0.0000 0.6496  2 Tl 2.85, 1 K 3.11
Cl 0.7618 0.5000 0.6866  1 Th 2.70
Cl 0.7788 0.2873 0.1492  1 Th 2.70
Cl 0.7788 0.7127 0.1492  1 Th 2.70

***

First-principles (PBE) data for NdScInAg after structural relaxation, as listed in the Alexandria database.

## Properties
As for the calculated formation energy: -32.8 kJ per mole of atoms.

a = 7.3642 Å, b = 7.3642 Å, c = 7.3642 Å
α = 90.00°, β = 90.00°, γ = 90.00°
Last column: nearest neighbours and their distance in Å.
Fractional coordinates of all 16 atoms:
Nd 0.0000 0.0000 0.0000  4 In 3.19, 4 Ag 3.19
Nd 0.0000 0.5000 0.5000  4 In 3.19, 4 Ag 3.19
Nd 0.5000 0.0000 0.5000  4 In 3.19, 4 Ag 3.19
Nd 0.5000 0.5000 0.0000  4 In 3.19, 4 Ag 3.19
Sc 0.0000 0.0000 0.5000  4 In 3.19, 4 Ag 3.19
Sc 0.0000 0.5000 0.0000  4 In 3.19, 4 Ag 3.19
Sc 0.5000 0.0000 0.0000  4 In 3.19, 4 Ag 3.19
Sc 0.5000 0.5000 0.5000  4 In 3.19, 4 Ag 3.19
In 0.2500 0.2500 0.2500  4 Nd 3.19, 4 Sc 3.19
In 0.2500 0.7500 0.7500  4 Sc 3.19, 4 Nd 3.19
In 0.7500 0.2500 0.7500  4 Sc 3.19, 4 Nd 3.19
In 0.7500 0.7500 0.2500  4 Sc 3.19, 4 Nd 3.19
Ag 0.2500 0.2500 0.7500  4 Nd 3.19, 4 Sc 3.19
Ag 0.2500 0.7500 0.2500  4 Nd 3.19, 4 Sc 3.19
Ag 0.7500 0.2500 0.2500  4 Nd 3.19, 4 Sc 3.19
Ag 0.7500 0.7500 0.7500  4 Nd 3.19, 4 Sc 3.19

***

First-principles (PBE) data for Ho2LuFe after structural relaxation, as listed in the Alexandria database.

## Properties
As for the calculated formation energy: 8.1 kJ per mole of atoms. The calculation puts the distance to the lowest polymorph of the same formula at 0 meV per atom.

a = 3.4402 Å, b = 3.4402 Å, c = 8.3929 Å
α = 90.00°, β = 90.00°, γ = 90.00°
Last column: nearest neighbours and their distance in Å.
Fractional coordinates of all 4 atoms:
Ho 0.0000 0.0000 0.1913  4 Fe 2.91, 1 Ho 3.21
Ho 0.0000 0.0000 0.8087  4 Fe 2.91, 1 Ho 3.21
Lu 0.5000 0.5000 0.5000  4 Lu 3.44, 8 Ho 3.55
Fe 0.5000 0.5000 0.0000  8 Ho 2.91

***

First-principles (PBE) data for Ho6IrSe3S2 after structural relaxation, as listed in the Alexandria database.

## Properties
The formation energy from raw total energies comes out at -1678 meV per atom.

a = 9.0616 Å, b = 9.0616 Å, c = 8.1468 Å
α = 103.49°, β = 103.49°, γ = 25.24°
Last column: nearest neighbours and their distance in Å.
Fractional coordinates of all 12 atoms:
Ho 0.0025 0.0025 0.2305  2 Ir 2.72, 1 S 2.87, 3 Se 2.96-2.99
Ho 0.3301 0.3301 0.4287  3 S 2.75-2.76, 3 Se 2.88-2.92
Ho 0.3393 0.3393 0.9089  1 Ir 2.76, 2 S 2.80, 3 Se 2.90-2.95
Ho 0.6607 0.6607 0.0911  1 Ir 2.76, 2 S 2.80, 3 Se 2.90-2.95
Ho 0.6699 0.6699 0.5713  3 S 2.75-2.76, 3 Se 2.88-2.92
Ho 0.9974 0.9974 0.7695  2 Ir 2.72, 1 S 2.87, 3 Se 2.96-2.99
Ir 0.5000 0.5000 0.0000  6 Ho 2.72-2.76
Se 0.1708 0.1708 0.8291  6 Ho 2.88-2.99
Se 0.5000 0.5000 0.5000  6 Ho 2.92-2.96
Se 0.8292 0.8292 0.1709  6 Ho 2.88-2.99
S 0.1695 0.1695 0.3375  6 Ho 2.75-2.87
S 0.8305 0.8305 0.6625  6 Ho 2.75-2.87

***

First-principles (PBE) data for KCaCr after structural relaxation, as listed in the Alexandria database.

## Properties
As for the calculated formation energy: 86.0 kJ per mole of atoms. The calculation puts the distance to the lowest polymorph of the same formula at 180 meV per atom.

a = 8.0488 Å, b = 8.0488 Å, c = 8.0488 Å
α = 90.00°, β = 90.00°, γ = 90.00°
Last column: nearest neighbours and their distance in Å.
Fractional coordinates of all 12 atoms:
K 0.0000 0.0000 0.0000  4 Cr 3.49
K 0.0000 0.5000 0.5000  4 Cr 3.49
K 0.5000 0.0000 0.5000  4 Cr 3.49
K 0.5000 0.5000 0.0000  4 Cr 3.49
Ca 0.0000 0.0000 0.5000  4 Cr 3.49
Ca 0.0000 0.5000 0.0000  4 Cr 3.49
Ca 0.5000 0.0000 0.0000  4 Cr 3.49
Ca 0.5000 0.5000 0.5000  4 Cr 3.49
Cr 0.2500 0.2500 0.2500  4 K 3.49, 4 Ca 3.49
Cr 0.2500 0.7500 0.7500  4 K 3.49, 4 Ca 3.49
Cr 0.7500 0.2500 0.7500  4 K 3.49, 4 Ca 3.49
Cr 0.7500 0.7500 0.2500  4 K 3.49, 4 Ca 3.49

***

First-principles (PBE) data for V2PdW after structural relaxation, as listed in the Alexandria database.

## Properties
As for the calculated formation energy: -9.8 kJ per mole of atoms.

a = 3.1871 Å, b = 4.2972 Å, c = 8.5489 Å
α = 90.00°, β = 90.00°, γ = 90.00°
Last column: nearest neighbours and their distance in Å.
Fractional coordinates of all 8 atoms:
V 0.0000 0.0000 0.2479  2 Pd 2.65, 4 V 2.68, 2 W 2.68
V 0.0000 0.0000 0.7521  2 Pd 2.65, 4 V 2.68, 2 W 2.68
V 0.5000 0.5000 0.2479  2 Pd 2.65, 4 V 2.68, 2 W 2.68
V 0.5000 0.5000 0.7521  2 Pd 2.65, 4 V 2.68, 2 W 2.68
Pd 0.0000 0.5000 0.0000  4 V 2.65, 4 Pd 2.68
Pd 0.5000 0.0000 0.0000  4 V 2.65, 4 Pd 2.68
W 0.0000 0.5000 0.5000  4 W 2.68, 4 V 2.68
W 0.5000 0.0000 0.5000  4 W 2.68, 4 V 2.68

***

First-principles (PBE) data for ScMnSn after structural relaxation, as listed in the Alexandria database.

## Properties
As for the calculated formation energy: -16.4 kJ per mole of atoms.

a = 3.3829 Å, b = 3.3829 Å, c = 10.0471 Å
α = 90.00°, β = 90.00°, γ = 90.00°
Last column: nearest neighbours and their distance in Å.
Fractional coordinates of all 6 atoms:
Sc 0.0000 0.0000 0.0000  4 Mn 2.90, 5 Sn 3.06-3.09
Sc 0.5000 0.5000 0.5000  4 Mn 2.90, 5 Sn 3.06-3.09
Mn 0.0000 0.0000 0.3376  4 Sn 2.79, 4 Sc 2.90
Mn 0.5000 0.5000 0.8376  4 Sn 2.79, 4 Sc 2.90
Sn 0.0000 0.0000 0.6953  4 Mn 2.79, 5 Sc 3.06-3.09
Sn 0.5000 0.5000 0.1953  4 Mn 2.79, 5 Sc 3.06-3.09

***

First-principles (PBE) data for Cs3Ni2As4 after structural relaxation, as listed in the Alexandria database.

## Properties
As for the calculated formation energy: -34.2 kJ per mole of atoms.

a = 7.2445 Å, b = 7.2445 Å, c = 9.8673 Å
α = 103.65°, β = 103.65°, γ = 32.54°
Last column: nearest neighbours and their distance in Å.
Fractional coordinates of all 9 atoms:
Cs 0.0000 0.0000 0.0000  6 As 3.57-3.73
Cs 0.3892 0.3892 0.6019  6 As 3.64-4.02, 3 Cs 4.06-4.07
Cs 0.6108 0.6108 0.3981  6 As 3.64-4.02, 3 Cs 4.06-4.07
Ni 0.3060 0.3060 0.1615  5 As 2.39-2.45
Ni 0.6940 0.6940 0.8385  5 As 2.39-2.45
As 0.1286 0.1286 0.7100  2 Ni 2.45, 1 As 2.54
As 0.2828 0.2828 0.9107  3 Ni 2.39-2.42, 1 As 2.54
As 0.7172 0.7172 0.0893  3 Ni 2.39-2.42, 1 As 2.54
As 0.8714 0.8714 0.2900  2 Ni 2.45, 1 As 2.54

***

First-principles (PBE) data for MgNiSn3 after structural relaxation, as listed in the Alexandria database.

## Properties
As for the calculated formation energy: -10.4 kJ per mole of atoms. The calculation puts the distance to the lowest polymorph of the same formula at 0 meV per atom.

a = 6.6433 Å, b = 6.6433 Å, c = 6.6141 Å
α = 118.16°, β = 118.16°, γ = 78.81°
Last column: nearest neighbours and their distance in Å.
Fractional coordinates of all 10 atoms:
Mg 0.0573 0.0573 0.2609  2 Ni 2.61-2.72, 1 Mg 2.89
Mg 0.9427 0.9427 0.7391  2 Ni 2.61-2.72, 1 Mg 2.89
Ni 0.2569 0.2569 0.1204  6 Sn 2.59-2.89, 2 Mg 2.61-2.72
Ni 0.7431 0.7431 0.8796  6 Sn 2.59-2.89, 2 Mg 2.61-2.72
Sn 0.0084 0.4122 0.7477  2 Ni 2.61-2.79
Sn 0.4122 0.0084 0.7477  2 Ni 2.61-2.79
Sn 0.4318 0.4318 0.6662  2 Ni 2.59-2.89
Sn 0.5682 0.5682 0.3338  2 Ni 2.59-2.89
Sn 0.5878 0.9916 0.2523  2 Ni 2.61-2.79
Sn 0.9916 0.5878 0.2523  2 Ni 2.61-2.79

***

First-principles (PBE) data for LiAg2RuRh after structural relaxation, as listed in the Alexandria database.

## Properties
As for the calculated formation energy: 129.7 kJ per mole of atoms.

a = 4.9872 Å, b = 4.9872 Å, c = 4.2189 Å
α = 90.00°, β = 90.00°, γ = 90.00°
Last column: nearest neighbours and their distance in Å.
Fractional coordinates of all 5 atoms:
Li 0.0000 0.0000 0.0000  2 Rh 2.11
Ag 0.0000 0.5000 0.5000  2 Rh 2.49
Ag 0.5000 0.0000 0.5000  2 Rh 2.49
Ru 0.5000 0.5000 0.0000  8 Ag 3.27, 4 Li 3.53
Rh 0.0000 0.0000 0.5000  2 Li 2.11

***

First-principles (PBE) data for ThNb2Os2 after structural relaxation, as listed in the Alexandria database.

## Properties
As for the calculated formation energy: -24.4 kJ per mole of atoms.

a = 4.4284 Å, b = 4.4284 Å, c = 10.7557 Å
α = 90.00°, β = 90.00°, γ = 90.00°
Last column: nearest neighbours and their distance in Å.
Fractional coordinates of all 10 atoms:
Th 0.0000 0.0000 0.0000  8 Os 3.39, 8 Nb 3.48
Th 0.5000 0.5000 0.5000  8 Os 3.39, 8 Nb 3.48
Nb 0.0000 0.5000 0.2500  4 Os 2.62
Nb 0.0000 0.5000 0.7500  4 Os 2.62
Nb 0.5000 0.0000 0.2500  4 Os 2.62
Nb 0.5000 0.0000 0.7500  4 Os 2.62
Os 0.0000 0.0000 0.3798  1 Os 2.59, 4 Nb 2.62
Os 0.0000 0.0000 0.6202  1 Os 2.59, 4 Nb 2.62
Os 0.5000 0.5000 0.1202  1 Os 2.59, 4 Nb 2.62
Os 0.5000 0.5000 0.8798  1 Os 2.59, 4 Nb 2.62

***

no.,magnetic moment (μB per formula unit),Fermi-level density of states (states/eV/atom)
1,9.546,2.0750
2,0.445,0.4679
3,0.216,0.9793
4,1.891,1.4226
5,0.000,0.4224
6,5.258,0.6451
7,0.000,0.9490
8,2.360,0.5346
9,0.000,0.4589
10,0.000,0.4491
11,3.030,1.0808
12,0.000,0.6523